(1)
This record from Alexandria describes an optimized crystal structure of AsRu2Se. The functional is PBE-GGA.

Structure (POSCAR):
```
AsRu2Se
1.0
-1.5198 2.1661 4.8225
1.5198 -2.1661 4.8225
1.5198 2.1661 -4.8225
As Ru Se
1 2 1
direct
0.0000 0.0000 0.0000 As
0.2138 0.7138 0.5000 Ru
0.5107 0.5107 0.0000 Ru
0.7211 0.2211 0.5000 Se
```

Relative energy among the computed polymorphs ... 227 meV per atom
Uncorrected energy ... -6.490 eV/atom
Calculated volume ... 15.9 Å³ per atom
Total moment ... 0.000 μB/atom
E_form (uncorrected) ... 182 meV/atom
SG ... Imm2, No. 44

=====

(2)
This record from Alexandria describes an optimized crystal structure of Os3Pb. The functional is PBE-GGA.

Structure (POSCAR):
```
Os3Pb
1.0
4.5346 0.0000 0.0000
0.0000 5.7829 0.0000
0.0000 0.0000 5.0774
Os Pb
6 2
direct
0.2500 0.0120 0.1263 Os
0.2500 0.2500 0.6801 Os
0.2500 0.4880 0.1263 Os
0.7500 0.5120 0.8737 Os
0.7500 0.7500 0.3199 Os
0.7500 0.9880 0.8737 Os
0.2500 0.7500 0.6295 Pb
0.7500 0.2500 0.3705 Pb
```

Uncorrected energy ... -8.440 eV/atom
Calculated volume ... 16.6 Å³ per atom
Total moment ... 0.000 μB/atom
SG ... Pmmn, No. 59
Energy of formation ... 909 meV per atom

=====

(3)
This record from Alexandria describes an optimized crystal structure of YCu2Au. The functional is PBE-GGA.

Structure (POSCAR):
```
YCu2Au
1.0
2.8382 -4.5179 0.0000
2.8382 4.5179 0.0000
-1.7902 0.0000 2.9566
Y Cu Au
1 2 1
direct
0.0000 0.0000 0.0000 Y
0.0000 0.5000 0.5000 Cu
0.5000 0.0000 0.5000 Cu
0.5000 0.5000 0.0000 Au
```

Relative energy among the computed polymorphs ... 350 meV per atom
Uncorrected energy ... -4.496 eV/atom
Calculated volume ... 19.0 Å³ per atom
Total moment ... 0.000 μB/atom
SG ... C2/m, No. 12
Energy of formation ... -13 meV per atom

=====

(4)
This record from Alexandria describes an optimized crystal structure of ReTcIr3. The functional is PBE-GGA.

Structure (POSCAR):
```
ReTcIr3
1.0
4.6403 0.0000 0.0000
0.0000 4.6403 0.0000
0.0000 0.0000 4.6403
Re Tc Ir
1 1 3
direct
0.0000 0.0000 0.0000 Re
0.5000 0.5000 0.5000 Tc
0.0000 0.5000 0.5000 Ir
0.5000 0.0000 0.5000 Ir
0.5000 0.5000 0.0000 Ir
```

Relative energy among the computed polymorphs ... 2351 meV per atom
Uncorrected energy ... -7.648 eV/atom
Calculated volume ... 20.0 Å³ per atom
Total moment ... 0.691 μB/atom
SG ... Pm-3m, No. 221
Energy of formation ... 2232 meV per atom

=====

(5)
This record from Alexandria describes an optimized crystal structure of Tl3Tc4. The functional is PBE-GGA.

Structure (POSCAR):
```
Tl3Tc4
1.0
5.5976 0.0000 0.0000
-2.7988 4.8477 0.0000
0.0000 0.0000 4.8729
Tl Tc
3 4
direct
0.0000 0.5000 0.0000 Tl
0.5000 0.0000 0.0000 Tl
0.5000 0.5000 0.0000 Tl
0.0000 0.0000 0.2694 Tc
0.0000 0.0000 0.7306 Tc
0.3333 0.6667 0.5000 Tc
0.6667 0.3333 0.5000 Tc
```

Relative energy among the computed polymorphs ... 896 meV per atom
Uncorrected energy ... -5.683 eV/atom
Calculated volume ... 18.9 Å³ per atom
Total moment ... 0.001 μB/atom
SG ... P6/mmm, No. 191
Energy of formation ... 1255 meV per atom

=====

(6)
This record from Alexandria describes an optimized crystal structure of PmPrGa. The functional is PBE-GGA.

Structure (POSCAR):
```
PmPrGa
1.0
5.0495 0.0000 0.0000
-2.5248 4.3730 0.0000
0.0000 0.0000 8.7133
Pm Pr Ga
2 2 2
direct
0.0000 0.0000 0.0000 Pm
0.3333 0.6667 0.5000 Pm
0.6667 0.3333 0.2306 Pr
0.6667 0.3333 0.7694 Pr
0.0000 0.0000 0.3527 Ga
0.0000 0.0000 0.6473 Ga
```

Relative energy among the computed polymorphs ... 257 meV per atom
Uncorrected energy ... -4.326 eV/atom
Calculated volume ... 32.1 Å³ per atom
Total moment ... 0.173 μB/atom
SG ... P-6m2, No. 187
Energy of formation ... -140 meV per atom